Entry from the Alexandria database: an optimized crystal structure of Ca2SiPd6Pb (PBE).

Cell and atoms, written as CIF:
```
data_Ca2SiPd6Pb
_symmetry_space_group_name_H-M 'F m -3 m'
_symmetry_Int_Tables_number 225
_symmetry_space_group_name_Hall '-F 4 2 3'
_cell_length_a 9.697
_cell_length_b 9.697
_cell_length_c 9.697
_cell_angle_alpha 90.00
_cell_angle_beta 90.00
_cell_angle_gamma 90.00
loop_
_atom_site_label
_atom_site_type_symbol
_atom_site_fract_x
_atom_site_fract_y
_atom_site_fract_z
Ca1 Ca 0.250 0.250 0.250
Si1 Si 0.000 0.000 0.000
Pd1 Pd 0.000 0.000 0.231
Pb1 Pb 0.000 0.000 0.500
```

Calculated values
ΔE_f (raw): -0.307 eV per atom

***

Entry from the Alexandria database: an optimized crystal structure of LaHo2Hg (PBE).

Cell and atoms, written as CIF:
```
data_LaHo2Hg
_symmetry_space_group_name_H-M 'I m m m'
_symmetry_Int_Tables_number 71
_symmetry_space_group_name_Hall '-I 2 2'
_cell_length_a 3.779
_cell_length_b 5.591
_cell_length_c 11.532
_cell_angle_alpha 90.00
_cell_angle_beta 90.00
_cell_angle_gamma 90.00
loop_
_atom_site_label
_atom_site_type_symbol
_atom_site_fract_x
_atom_site_fract_y
_atom_site_fract_z
La1 La 0.000 0.000 0.000
Ho1 Ho 0.000 0.500 0.219
Hg1 Hg 0.000 0.000 0.500
```

Calculated values
energy above the lowest structure with this stoichiometry: 0.000 eV per atom
DFT formation energy: -0.9 eV per formula unit

***

Entry from the Alexandria database: an optimized crystal structure of Ba2MgPd3F12 (PBE).

Cell and atoms, written as CIF:
```
data_Ba2MgPd3F12
_symmetry_space_group_name_H-M 'R -3 m'
_symmetry_Int_Tables_number 166
_symmetry_space_group_name_Hall '-R 3 2"'
_cell_length_a 7.3226
_cell_length_b 7.3226
_cell_length_c 18.3403
_cell_angle_alpha 90.00
_cell_angle_beta 90.00
_cell_angle_gamma 120.00
loop_
_atom_site_label
_atom_site_type_symbol
_atom_site_fract_x
_atom_site_fract_y
_atom_site_fract_z
Ba1 Ba 0.0000 0.0000 0.1457
Mg1 Mg 0.0000 0.0000 0.5000
Pd1 Pd 0.0000 0.5000 0.0000
F1 F 0.0245 0.5123 0.3826
F2 F 0.0602 0.5301 0.1152
```

Calculated values
ΔE_f (raw): -2.317 eV per atom

***

Entry from the Alexandria database: an optimized crystal structure of KInC (PBE).

Cell and atoms, written as CIF:
```
data_KInC
_symmetry_space_group_name_H-M 'A m m 2'
_symmetry_Int_Tables_number 38
_cell_length_a 5.652
_cell_length_b 4.820
_cell_length_c 13.603
_cell_angle_alpha 90.00
_cell_angle_beta 90.00
_cell_angle_gamma 90.00
loop_
_symmetry_equiv_pos_as_xyz
'x,y,z'
'-x,-y,z'
'-x,y,z'
'x,-y,z'
'x,y+1/2,z+1/2'
'-x,-y+1/2,z+1/2'
'-x,y+1/2,z+1/2'
'x,-y+1/2,z+1/2'
loop_
_atom_site_label
_atom_site_type_symbol
_atom_site_fract_x
_atom_site_fract_y
_atom_site_fract_z
K1 K 0.000 0.000 0.000
K2 K 0.500 0.000 0.325
In1 In 0.000 0.000 0.718
In2 In 0.500 0.000 0.607
C1 C 0.000 0.131 0.320
```

Calculated values
DFT formation energy: 1.0 eV per formula unit

***

Entry from the Alexandria database: an optimized crystal structure of Hf3BeIr2 (PBE).

Cell and atoms, written as CIF:
```
data_Hf3BeIr2
_symmetry_space_group_name_H-M 'P n m a'
_symmetry_Int_Tables_number 62
_cell_length_a 10.854
_cell_length_b 4.216
_cell_length_c 9.203
_cell_angle_alpha 90.00
_cell_angle_beta 90.00
_cell_angle_gamma 90.00
loop_
_symmetry_equiv_pos_as_xyz
'x,y,z'
'-x,-y,-z'
'-x+1/2,-y,z+1/2'
'x+1/2,y,-z+1/2'
'x+1/2,-y+1/2,-z+1/2'
'-x+1/2,y+1/2,z+1/2'
'-x,y+1/2,-z'
'x,-y+1/2,z'
loop_
_atom_site_label
_atom_site_type_symbol
_atom_site_fract_x
_atom_site_fract_y
_atom_site_fract_z
Hf1 Hf 0.052 0.250 0.122
Hf2 Hf 0.111 0.750 0.582
Hf3 Hf 0.212 0.250 0.816
Be1 Be 0.133 0.250 0.398
Ir1 Ir 0.026 0.750 0.311
Ir2 Ir 0.180 0.750 0.008
```

Calculated values
DFT formation energy: -4.2 eV per formula unit

***

Entry from the Alexandria database: an optimized crystal structure of MnZn2Pd9 (PBE).

Cell and atoms, written as CIF:
```
data_MnZn2Pd9
_symmetry_space_group_name_H-M 'P 4/m m m'
_symmetry_Int_Tables_number 123
_symmetry_space_group_name_Hall '-P 4 2'
_cell_length_a 3.910
_cell_length_b 3.910
_cell_length_c 11.778
_cell_angle_alpha 90.00
_cell_angle_beta 90.00
_cell_angle_gamma 90.00
loop_
_atom_site_label
_atom_site_type_symbol
_atom_site_fract_x
_atom_site_fract_y
_atom_site_fract_z
Mn1 Mn 0.000 0.000 0.000
Zn1 Zn 0.000 0.000 0.336
Pd1 Pd 0.000 0.500 0.166
Pd2 Pd 0.000 0.500 0.500
Pd3 Pd 0.500 0.500 0.000
Pd4 Pd 0.500 0.500 0.332
```

Calculated values
DFT formation energy: -3.3 eV per formula unit

***

| no. | total energy (eV per atom) |
| --- | --- |
| 1 | -4.736 |
| 2 | -3.833 |
| 3 | -4.732 |
| 4 | -4.017 |
| 5 | -9.257 |
| 6 | -5.145 |